# Ba3PrN3 (GGA-PBE, optimized geometry)
# density: 5.4 g cm⁻³
# E: -0.200 Ha/atom
data_Ba3PrN3
_chemical_formula_sum 'Ba6 Pr2 N6'
_symmetry_space_group_name_H-M 'P 1'
_symmetry_Int_Tables_number 1
_cell_length_a 8.540
_cell_length_b 8.540
_cell_length_c 5.843
_cell_angle_alpha 90.00
_cell_angle_beta 90.00
_cell_angle_gamma 120.00
loop_
_symmetry_equiv_pos_as_xyz
'x,y,z'
loop_
_atom_site_label
_atom_site_fract_x
_atom_site_fract_y
_atom_site_fract_z
_atom_site_occupancy
Ba1 0.744 0.080 0.250 1
Ba2 0.336 0.256 0.250 1
Ba3 0.920 0.664 0.250 1
Ba4 0.080 0.336 0.750 1
Ba5 0.664 0.744 0.750 1
Ba6 0.256 0.920 0.750 1
N1 0.095 0.368 0.250 1
N2 0.632 0.727 0.250 1
N3 0.273 0.905 0.250 1
N4 0.727 0.095 0.750 1
N5 0.368 0.273 0.750 1
N6 0.905 0.632 0.750 1
Pr1 0.333 0.667 0.250 1
Pr2 0.667 0.333 0.750 1